Material: Pm3Si5Pt6
Method: DFT, PBE
State: optimized geometry

abc: 4.091 10.099 12.437
angles: 90.00 90.00 90.00
Atoms (fractional coordinates):
Pm 0.500 0.752 0.844
Si 0.500 0.148 0.827
Pt 0.000 0.011 0.831
Pt 0.000 0.613 0.699
Si 0.500 0.148 0.173
Pt 0.500 0.989 0.331
Pm 0.000 0.248 0.656
Pm 0.000 0.259 0.000
Pm 0.500 0.752 0.156
Si 0.000 0.852 0.673
Pt 0.500 0.387 0.801
Pt 0.000 0.980 0.500
Pt 0.500 0.989 0.669
Si 0.500 0.120 0.500
Si 0.000 0.521 0.119
Pt 0.000 0.489 0.500
Pt 0.500 0.020 0.000
Pt 0.500 0.387 0.199
Pt 0.000 0.613 0.301
Si 0.000 0.852 0.327
Pm 0.000 0.248 0.344
Pt 0.500 0.511 0.000
Si 0.000 0.521 0.881
Pm 0.500 0.741 0.500
Si 0.500 0.479 0.381
Si 0.000 0.880 0.000
Pt 0.000 0.011 0.169
Si 0.500 0.479 0.619

Properties
space group: Pmmn, No. 59
density of states at the Fermi level: 18.48 states/eV/cell
energy relative to the elements, uncorrected: -1.029 eV per atom